# 1
This record from the Alexandria database describes an optimized crystal structure of CeTm3Cd6. The functional is PBE-GGA.

Cell: 5.1832 9.1172 11.0679 Å, 106.57 90.00 90.00°
Closest atoms and distances in Å follow each position.
Fractional positions:
Ce (0.2500, 0.9445, 0.6041)  8 Cd 3.18-3.40
Ce (0.7500, 0.0555, 0.3959)  8 Cd 3.18-3.40
Tm (0.2500, 0.5381, 0.3897)  8 Cd 3.10-3.30
Tm (0.7500, 0.4619, 0.6103)  8 Cd 3.10-3.30
Tm (0.2500, 0.3496, 0.7947)  8 Cd 3.12-3.22
Tm (0.7500, 0.6504, 0.2053)  8 Cd 3.12-3.22
Tm (0.2500, 0.7586, 0.9934)  8 Cd 3.11-3.23
Tm (0.7500, 0.2414, 0.0066)  8 Cd 3.11-3.23
Cd (0.2500, 0.4583, 0.0921)  7 Tm 3.16-3.23, 3 Cd 3.33-3.51
Cd (0.7500, 0.5417, 0.9079)  7 Tm 3.16-3.23, 3 Cd 3.33-3.51
Cd (0.2500, 0.1485, 0.1953)  8 Cd 3.09-3.33
Cd (0.7500, 0.8515, 0.8047)  8 Cd 3.09-3.33
Cd (0.2500, 0.6479, 0.7004)  5 Tm 3.10-3.30, 1 Ce 3.18, 2 Cd 3.21
Cd (0.7500, 0.3521, 0.2996)  5 Tm 3.10-3.30, 1 Ce 3.18, 2 Cd 3.21
Cd (0.2500, 0.2589, 0.4975)  4 Tm 3.10-3.22, 3 Ce 3.20-3.40, 1 Cd 3.21
Cd (0.7500, 0.7411, 0.5025)  4 Tm 3.10-3.22, 3 Ce 3.20-3.40, 1 Cd 3.21
Cd (0.2500, 0.8425, 0.2891)  4 Tm 3.12-3.27, 1 Cd 3.24, 3 Ce 3.25-3.34
Cd (0.7500, 0.1575, 0.7109)  4 Tm 3.12-3.27, 1 Cd 3.24, 3 Ce 3.25-3.34
Cd (0.2500, 0.0576, 0.9041)  3 Cd 3.09-3.21, 4 Tm 3.12-3.22, 1 Ce 3.18
Cd (0.7500, 0.9424, 0.0959)  3 Cd 3.09-3.21, 4 Tm 3.12-3.22, 1 Ce 3.18

density of states at the Fermi level = 26.93 states/eV per cell
DFT formation energy = -5.2 kcal/mol of atoms
space-group type = P2_1/m (11)
E_tot = -2.71 eV per atom

***

# 2
This record from the Alexandria database describes an optimized crystal structure of CeTm2Cd6. The functional is PBE-GGA.

Cell: 3.3536 8.6726 8.6726 Å, 120.00 90.00 90.00°
Closest atoms and distances in Å follow each position.
Fractional positions:
Ce (0.0000, 0.0000, 0.0000)  2 Ce 3.35, 12 Cd 3.37
Tm (0.0000, 0.3333, 0.6667)  12 Cd 3.33, 2 Tm 3.35
Tm (0.0000, 0.6667, 0.3333)  12 Cd 3.33, 2 Tm 3.35
Cd (0.5000, 0.3368, 0.3368)  3 Cd 2.83-2.92
Cd (0.5000, 0.6632, 0.6632)  3 Cd 2.83-2.92
Cd (0.5000, 0.0000, 0.6632)  3 Cd 2.83-2.92
Cd (0.5000, 0.6632, 0.0000)  3 Cd 2.83-2.92
Cd (0.5000, 0.3368, 0.0000)  3 Cd 2.83-2.92
Cd (0.5000, 0.0000, 0.3368)  3 Cd 2.83-2.92

density of states at the Fermi level = 11.42 states/eV per cell
DFT formation energy = -6.2 kcal/mol of atoms
space-group type = P6/mmm (191)
E_tot = -2.53 eV per atom

***

# 3
This record from the Alexandria database describes an optimized crystal structure of CeTmCd. The functional is PBE-GGA.

Cell: 3.4503 3.4503 7.3868 Å, 103.51 103.51 90.00°
Closest atoms and distances in Å follow each position.
Fractional positions:
Tm (0.0113, 0.0113, 0.0226)  4 Cd 3.21, 4 Tm 3.45, 4 Ce 3.53
Ce (0.3280, 0.3280, 0.6559)  4 Cd 3.37, 4 Ce 3.45, 4 Tm 3.53
Cd (0.6608, 0.6608, 0.3215)  4 Tm 3.21, 4 Ce 3.37, 4 Cd 3.45

density of states at the Fermi level = 6.52 states/eV per cell
DFT formation energy = -2.4 kcal/mol of atoms
space-group type = I4mm (107)
E_tot = -3.88 eV per atom
ΔE to the lowest computed polymorph = 33.4 meV/atom

***

no.,V (Å³ per cell)
1,501.3
2,218.4
3,83.0